5
Lattice="-3.876 -2.235 -2.352 2.262 -3.757 -0.158 -1.934 -1.352 4.470" Properties=species:S:1:pos:R:3 comment="NaMg2SiB | Alexandria | PBE | relaxed" crystal_system=tetragonal dos_ef_per_ev_cell=2.058 magnetic_moment_mub_per_cell=0.0 dft_energy_ev_per_atom=-1.79 pbc="T T T"
Na 0.000 0.000 0.000
Si -1.773 -3.672 0.980
B 1.131 -1.879 -0.079
Mg -0.967 -0.676 2.235
Mg -1.938 -1.117 -1.176



13
Lattice="5.445 0.000 0.000 2.723 6.275 0.000 2.723 0.000 6.160" Properties=species:S:1:pos:R:3 comment="TbZn10Pd2 | Alexandria | PBE | relaxed" crystal_system=orthorhombic dos_ef_per_ev_cell=5.798 magnetic_moment_mub_per_cell=0.0 formation_energy_ev_per_atom=-0.295 pbc="T T T"
Tb 0.000 0.000 0.000
Zn 5.445 4.053 4.028
Zn 5.445 2.222 2.132
Zn 8.168 2.222 4.028
Zn 2.723 4.053 2.132
Zn 1.361 0.000 3.080
Zn 4.084 0.000 3.080
Zn 2.723 1.350 1.335
Zn 8.168 4.925 4.825
Zn 5.445 4.925 1.335
Zn 5.445 1.350 4.825
Pd 1.361 3.137 0.000
Pd 4.084 3.137 0.000



10
Lattice="-5.551 -2.855 -1.459 -0.597 -1.946 6.079 -2.291 3.928 1.032" Properties=species:S:1:pos:R:3 comment="Nb2Ag2Ru | Alexandria | PBE | relaxed" crystal_system=tetragonal dos_ef_per_ev_cell=11.837 relative_energy_mev_per_atom=0 magnetic_moment_mub_per_cell=0.0 formation_energy_ev_per_atom=0.599 pbc="T T T"
Ru 0.000 0.000 0.000
Ru -3.074 -2.401 2.310
Nb -2.491 -2.685 4.687
Nb -5.140 -3.698 2.661
Nb -3.657 -2.116 -0.067
Nb -1.008 -1.103 1.959
Ag -2.416 0.232 4.286
Ag -5.301 -1.554 4.674
Ag -6.023 -1.105 1.366
Ag -3.138 0.680 0.978



15
Lattice="-1.323 7.146 1.628 -3.269 -5.389 3.963 8.112 1.198 1.329" Properties=species:S:1:pos:R:3 comment="Na3Ti3AlSe8 | Alexandria | PBE | relaxed" crystal_system=trigonal dos_ef_per_ev_cell=6.242 magnetic_moment_mub_per_cell=1.9 dft_energy_ev_per_atom=-5.06 pbc="T T T"
Na 0.000 0.000 0.000
Na -1.635 -2.694 1.982
Na -2.296 0.879 2.796
Ti 3.394 4.172 1.479
Ti 1.760 1.478 3.460
Ti 2.421 -2.095 2.646
Al 4.056 0.599 0.664
Se 0.273 -0.608 2.893
Se 3.247 3.564 4.028
Se -0.361 2.962 3.741
Se 3.881 -0.006 3.180
Se 1.280 5.667 1.751
Se 2.240 -2.711 5.170
Se 1.944 2.080 0.934
Se 1.576 0.876 5.987